The following is a DFT calculation (GGA-PBE) of Tl2IrPt after structural relaxation.

CIF file:
```
data_Tl2IrPt
_chemical_formula_sum 'Tl4 Ir2 Pt2'
_symmetry_space_group_name_H-M 'I -4 m 2'
_symmetry_Int_Tables_number 119
_symmetry_space_group_name_Hall 'I -4 -2'
_cell_length_a 3.9638
_cell_length_b 3.9638
_cell_length_c 9.8588
_cell_angle_alpha 90.00
_cell_angle_beta 90.00
_cell_angle_gamma 90.00
loop_
_atom_site_label
_atom_site_type_symbol
_atom_site_fract_x
_atom_site_fract_y
_atom_site_fract_z
Tl1 Tl 0.0000 0.0000 0.0000
Tl2 Tl 0.0000 0.5000 0.2500
Ir1 Ir 0.0000 0.5000 0.7500
Pt1 Pt 0.0000 0.0000 0.5000
```

The formation energy comes out at 0.41 eV per atom. As for the size of the total moment: 0.0 μB per formula unit.